No. 1
Entry from Alexandria: crystalline CsTlSb2Te at its relaxed geometry (PBE-GGA).

Results
* formation energy (no corrections): 247 meV/atom
* space-group type: P4/mmm (123)
* total moment: 1.10 Bohr magnetons per cell
* relative energy among the computed polymorphs: 0.000 eV/f.u.

abc: 5.8583 5.8583 6.1445
angles: 90.00 90.00 90.00
Fractional positions:
Cs: 0.0000 0.0000 0.0000
Tl: 0.5000 0.5000 0.5000
Sb: 0.0000 0.5000 0.5000
Sb: 0.5000 0.0000 0.5000
Te: 0.5000 0.5000 0.0000

=====

No. 2
Entry from Alexandria: crystalline Ir4Os3 at its relaxed geometry (PBE-GGA).

Results
* space-group type: P6/mmm (191)
* total moment: 0.00 Bohr magnetons per cell
* relative energy among the computed polymorphs: 2.390 eV/f.u.
* DFT formation energy: 599.1 meV/atom

abc: 5.0430 5.0430 4.8594
angles: 90.00 90.00 120.00
Fractional positions:
Ir: 0.0000 0.0000 0.2436
Ir: 0.0000 0.0000 0.7564
Ir: 0.3333 0.6667 0.0000
Ir: 0.6667 0.3333 0.0000
Os: 0.0000 0.5000 0.5000
Os: 0.5000 0.0000 0.5000
Os: 0.5000 0.5000 0.5000

=====

total moment of number 2 (Ir4Os3)?
0.00 Bohr magnetons per cell

=====

total moment of number 1 (CsTlSb2Te)?
1.10 Bohr magnetons per cell